VASP calculation (PBE) on an optimized crystal structure of LaBeInCl2.

For the calculated total energy, the calculation gives -17.30 eV for the cell shown. The value obtained for the uncorrected formation energy is -0.443 eV/atom. The density of states at the Fermi level is 5.78 states/eV/cell.

a b c (Å): 4.695 4.695 5.297
angles (deg): 90.00 90.00 90.00
Positions (direct):
La (0.000, 0.000, 0.000)
Be (0.500, 0.500, 0.500)
In (0.500, 0.500, 0.000)
Cl (0.000, 0.500, 0.500)
Cl (0.500, 0.000, 0.500)